# 1
VCo3Au, relaxed, DFT PBE-GGA; ΔH_f (0 K) = 1.014 eV/atom; DOS(E_F) = 8.19 states/eV/f.u.; ΔE to the lowest computed polymorph = 0 meV per atom; calculated density = 9.538 g/cm3
1.0
-3.834 0.936 1.429
-1.512 -3.493 -1.769
0.795 -2.131 3.528
Au Co V
1 3 1
Direct
0.500 0.500 0.500
0.000 0.500 0.000
0.000 0.000 0.500
0.500 0.000 0.000
0.000 0.000 0.000

# 2
V2Co2Au, relaxed, DFT PBE-GGA; ΔH_f (0 K) = -0.095 eV/atom; DOS(E_F) = 6.17 states/eV/f.u.; ΔE to the lowest computed polymorph = 0 meV per atom; calculated density = 10.657 g/cm3
1.0
6.903 0.000 0.000
0.000 6.903 0.000
0.000 0.000 2.725
Au Co V
2 4 4
Direct
0.000 0.000 0.000
0.500 0.500 0.000
0.371 0.871 0.000
0.871 0.629 0.000
0.629 0.129 0.000
0.129 0.371 0.000
0.164 0.664 0.500
0.664 0.836 0.500
0.836 0.336 0.500
0.336 0.164 0.500